## ReTc2Ni (GGA-PBE)

Data for a geometry-optimized ReTc2Ni structure.

Values from the calculation:
* symmetry: No. 6

a b c (Å): 2.703 3.841 5.340
angles (deg): 90.00 90.12 90.00
Fractional positions:
Re (0.000, 0.000, 0.000)
Tc (0.003, 0.000, 0.484)
Tc (0.502, 0.500, 0.739)
Ni (0.502, 0.500, 0.239)

***

## ReTcNi2 (GGA-PBE)

Data for a geometry-optimized ReTcNi2 structure.

Values from the calculation:
* symmetry: No. 216

a b c (Å): 5.943 5.943 5.943
angles (deg): 90.00 90.00 90.00
Fractional positions:
Re (0.000, 0.000, 0.000)
Re (0.000, 0.500, 0.500)
Re (0.500, 0.000, 0.500)
Re (0.500, 0.500, 0.000)
Tc (0.250, 0.250, 0.250)
Tc (0.250, 0.750, 0.750)
Tc (0.750, 0.250, 0.750)
Tc (0.750, 0.750, 0.250)
Ni (0.000, 0.000, 0.500)
Ni (0.000, 0.500, 0.000)
Ni (0.250, 0.250, 0.750)
Ni (0.250, 0.750, 0.250)
Ni (0.500, 0.000, 0.000)
Ni (0.500, 0.500, 0.500)
Ni (0.750, 0.250, 0.250)
Ni (0.750, 0.750, 0.750)

***

Computed values of calculated total energy (unit: eV/atom) for the preceding records, in sequence: -9.69, -8.43.
Computed values of DOS at the Fermi energy (unit: states/eV per atom) for the preceding records, in sequence: 0.9109, 0.9704.
Computed values of size of the total moment (unit: μB per formula unit) for the preceding records, in sequence: 0.0, 0.0.